Record 1
A plane-wave DFT calculation with PBE-GGA was carried out for crystalline Li2CaPb at its relaxed geometry.

The energy of formation from the pure elements comes out at -0.23 eV/atom. The value obtained for the total DFT energy (no corrections) is -2.61 eV per atom. For the density of states at the Fermi level, the calculation gives 2.26 states/eV per cell. The calculated density comes out at 4.1 g/cm³. For the calculated volume, the calculation gives 26.13 A^3/atom.

Cell lengths 3.623, 5.136, 5.637 Å; angles 90.00, 94.96, 90.00 degrees
Space group P2/m (No. 10)
One atom of each set of equivalent atoms:
1 Li 0.185 0.000 0.290 x2
2 Ca 0.500 0.500 0.000 x1
3 Pb 0.000 0.500 0.500 x1



Record 2
A plane-wave DFT calculation with PBE-GGA was carried out for crystalline Cu2AgPSe4 at its relaxed geometry.

Its formation energy from raw total energies is -0.136 eV/atom. The value obtained for the total DFT energy (no corrections) is -3.93 eV per atom. For the density of states at the Fermi level, the calculation gives 0.84 states/eV per cell. The calculated density comes out at 5.4 g/cm³. For the calculated volume, the calculation gives 22.47 A^3/atom.

Cell lengths 5.829, 5.829, 10.579 Å; angles 90.00, 90.00, 90.00 degrees
Space group I-42m (No. 121)
One atom of each set of equivalent atoms:
1 Cu 0.000 0.500 0.250 x4
2 Ag 0.000 0.000 0.000 x2
3 P 0.000 0.000 0.500 x2
4 Se 0.223 0.223 0.631 x8



Among the records above, which one has the lowest calculated volume? Cu2AgPSe4